Ta2ZnHg, relaxed, DFT PBE; crystal system = tetragonal; relative energy among the computed polymorphs = 543.7 meV/atom; space-group type = I-42d
1.0
-7.2847 0.8540 1.2300
0.8614 -2.6068 6.9117
-2.7566 1.6916 4.9827
Zn Hg Ta
2 2 4
Direct
0.5000 0.5000 0.0000 Zn
0.2500 0.7500 0.5000 Zn
0.0000 0.0000 0.0000 Hg
0.7500 0.2500 0.5000 Hg
0.6123 0.1250 0.2500 Ta
0.1377 0.6250 0.2500 Ta
0.3750 0.3877 0.7500 Ta
0.8750 0.8623 0.7500 Ta


LaTc2Se, relaxed, DFT PBE; crystal system = tetragonal; energy relative to the elements, uncorrected = -0.1 kJ/mol of atoms; space-group type = I-42d
1.0
4.3076 0.0000 0.0000
0.0000 4.3076 0.0000
2.1538 2.1538 9.2395
Tc Se La
4 2 2
Direct
0.5154 0.1250 0.2500 Tc
0.2346 0.6250 0.2500 Tc
0.3750 0.4846 0.7500 Tc
0.8750 0.7654 0.7500 Tc
0.5000 0.5000 0.0000 Se
0.2500 0.7500 0.5000 Se
0.0000 0.0000 0.0000 La
0.7500 0.2500 0.5000 La


| no. | E (eV/atom) |
| --- | --- |
| 1 | -5.64 |
| 2 | -7.29 |